Record 1
# BiWI2

A geometry-optimized BiWI2 structure (PBEsol, Alexandria).

a b c (Å): 7.2614 7.2614 7.2614
angles (deg): 90.00 90.00 90.00
Space group Fm-3m (No. 225)
Unique sites:
Bi  0.0000  0.0000  0.0000 [4 per cell]
W  0.0000  0.0000  0.5000 [4 per cell]
I  0.2500  0.2500  0.2500 [8 per cell]

Calculated values
The calculation puts the formation energy without anion corrections at 481 kJ/mol of formula units.



Record 2
# YBiI3

A geometry-optimized YBiI3 structure (PBEsol, Alexandria).

a b c (Å): 5.9460 5.9460 5.9460
angles (deg): 90.00 90.00 90.00
Space group Pm-3m (No. 221)
Unique sites:
Y  0.0000  0.0000  0.0000 [1 per cell]
Bi  0.5000  0.5000  0.5000 [1 per cell]
I  0.0000  0.0000  0.5000 [3 per cell]

Calculated values
The calculation puts the formation energy without anion corrections at -228 kJ/mol of formula units.



Respective raw total energy values: -66.56 -18.77 eV per cell.